(1)
Pm4Sm3Y: relaxed, PBE.

The formation energy comes out at 0.028 eV per atom. As for the volume: 548.9 Å³/cell. As for the total energy: -4.925 eV per atom. The calculation puts the density of states at the Fermi level at 14.24 states/eV/f.u. Its total magnetization is 0.000 μB/atom.

The space group is Pmn2_1 (No. 31) and the conventional cell measures 11.705, 7.365 and 6.368 Å, with angles of 90.00, 90.00 and 90.00 degrees. The asymmetric unit holds Pm at (0.000, 0.125, 0.000), Pm at (0.000, 0.875, 0.498), Pm at (0.249, 0.874, 0.831), Sm at (0.000, 0.375, 0.499), Sm at (0.250, 0.376, 0.833) and Y at (0.000, 0.624, 0.999).

(2)
Pm3Sm5Y2: relaxed, PBE.

The formation energy comes out at 0.184 eV per atom. As for the volume: 1371.9 Å³/cell. As for the total energy: -4.893 eV per atom. The calculation puts the density of states at the Fermi level at 18.35 states/eV/f.u. Its total magnetization is 0.000 μB/atom.

The space group is C2/c (No. 15) and the conventional cell measures 10.842, 15.025 and 9.995 Å, with angles of 90.00, 122.59 and 90.00 degrees. The asymmetric unit holds Pm at (0.000, 0.227, 0.250), Pm at (0.149, 0.126, 0.055), Sm at (0.000, 0.017, 0.250), Sm at (0.000, 0.269, 0.750), Sm at (0.000, 0.474, 0.750), Sm at (0.238, 0.376, 0.232) and Y at (0.156, 0.376, 0.552).

(3)
Pm5Sm5Y: relaxed, PBE.

The formation energy comes out at 0.293 eV per atom. As for the volume: 387.6 Å³/cell. As for the total energy: -4.599 eV per atom. The calculation puts the density of states at the Fermi level at 18.43 states/eV/f.u. Its total magnetization is 0.000 μB/atom.

The space group is P-6m2 (No. 187) and the conventional cell measures 6.1956, 6.1956 and 11.6589 Å, with angles of 90.00, 90.00 and 120.00 degrees. The asymmetric unit holds Pm at (0.0000, 0.0000, 0.0000), Pm at (0.3333, 0.6667, 0.3185), Pm at (0.6667, 0.3333, 0.1574), Sm at (0.0000, 0.0000, 0.2645), Sm at (0.3377, 0.1689, 0.5000) and Y at (0.3333, 0.6667, 0.0000).

(4)
PmSm7Y12: relaxed, PBE.

The formation energy comes out at 0.642 eV per atom. As for the volume: 1451.2 Å³/cell. As for the total energy: -5.126 eV per atom. The calculation puts the density of states at the Fermi level at 26.28 states/eV/f.u. Its total magnetization is 0.000 μB/atom.

The space group is Im-3 (No. 204) and the conventional cell measures 11.322, 11.322 and 11.322 Å, with angles of 90.00, 90.00 and 90.00 degrees. The asymmetric unit holds Pm at (0.000, 0.000, 0.000), Sm at (0.000, 0.000, 0.500), Sm at (0.250, 0.250, 0.250) and Y at (0.000, 0.250, 0.251).

(5)
PmSm8Y5: relaxed, PBE.

The formation energy comes out at 0.249 eV per atom. As for the volume: 962.3 Å³/cell. As for the total energy: -5.095 eV per atom. The calculation puts the density of states at the Fermi level at 21.97 states/eV/f.u. Its total magnetization is 0.000 μB/atom.

The space group is I-4 (No. 82) and the conventional cell measures 9.638, 9.638 and 10.360 Å, with angles of 90.00, 90.00 and 90.00 degrees. The asymmetric unit holds Pm at (0.000, 0.000, 0.000), Sm at (0.069, 0.827, 0.351), Sm at (0.090, 0.677, 0.002), Y at (0.000, 0.500, 0.250) and Y at (0.112, 0.706, 0.677).

(6)
Pm8Sm5Y: relaxed, PBE.

The formation energy comes out at 0.241 eV per atom. As for the volume: 979.0 Å³/cell. As for the total energy: -4.621 eV per atom. The calculation puts the density of states at the Fermi level at 20.56 states/eV/f.u. Its total magnetization is 0.000 μB/atom.

The space group is I-4 (No. 82) and the conventional cell measures 9.751, 9.751 and 10.297 Å, with angles of 90.00, 90.00 and 90.00 degrees. The asymmetric unit holds Pm at (0.070, 0.175, 0.153), Pm at (0.085, 0.321, 0.496), Sm at (0.000, 0.500, 0.250), Sm at (0.107, 0.291, 0.824) and Y at (0.000, 0.000, 0.500).

(7)
Pm4SmY6: relaxed, PBE.

The formation energy comes out at 0.111 eV per atom. As for the volume: 1468.9 Å³/cell. As for the total energy: -5.572 eV per atom. The calculation puts the density of states at the Fermi level at 20.57 states/eV/f.u. Its total magnetization is 0.000 μB/atom.

The space group is Cmcm (No. 63) and the conventional cell measures 5.801, 9.724 and 26.040 Å, with angles of 90.00, 90.00 and 90.00 degrees. The asymmetric unit holds Pm at (0.000, 0.030, 0.122), Pm at (0.000, 0.343, 0.044), Sm at (0.000, 0.316, 0.750), Y at (0.000, 0.000, 0.000), Y at (0.000, 0.018, 0.250), Y at (0.000, 0.310, 0.604) and Y at (0.000, 0.356, 0.182).

(8)
Pm2Sm3Y2: relaxed, PBE.

The formation energy comes out at 0.014 eV per atom. As for the volume: 234.6 Å³/cell. As for the total energy: -5.213 eV per atom. The calculation puts the density of states at the Fermi level at 9.15 states/eV/f.u. Its total magnetization is 0.000 μB/atom.

The space group is P-1 (No. 2) and the conventional cell measures 3.620, 6.256 and 10.875 Å, with angles of 95.60, 90.01 and 106.80 degrees. The asymmetric unit holds Pm at (0.215, 0.429, 0.357), Sm at (0.356, 0.713, 0.929), Sm at (0.500, 0.000, 0.500) and Y at (0.071, 0.142, 0.787).

(9)
Pm4Sm10Y: relaxed, PBE.

The formation energy comes out at 0.407 eV per atom. As for the volume: 1131.5 Å³/cell. As for the total energy: -4.436 eV per atom. The calculation puts the density of states at the Fermi level at 24.54 states/eV/f.u. Its total magnetization is 0.000 μB/atom.

The space group is I4/m (No. 87) and the conventional cell measures 9.869, 9.869 and 11.616 Å, with angles of 90.00, 90.00 and 90.00 degrees. The asymmetric unit holds Pm at (0.067, 0.680, 0.000), Sm at (0.000, 0.500, 0.250), Sm at (0.119, 0.771, 0.338) and Y at (0.000, 0.000, 0.500).

(10)
Pm6SmY3: relaxed, PBE.

The formation energy comes out at 0.125 eV per atom. As for the volume: 1364.1 Å³/cell. As for the total energy: -5.136 eV per atom. The calculation puts the density of states at the Fermi level at 16.36 states/eV/f.u. Its total magnetization is 0.000 μB/atom.

The space group is Cmc2_1 (No. 36) and the conventional cell measures 9.892, 21.412 and 6.440 Å, with angles of 90.00, 90.00 and 90.00 degrees. The asymmetric unit holds Pm at (0.000, 0.017, 0.000), Pm at (0.000, 0.300, 0.031), Pm at (0.174, 0.281, 0.498), Pm at (0.181, 0.440, 0.255), Sm at (0.000, 0.160, 0.813), Y at (0.000, 0.420, 0.734) and Y at (0.168, 0.125, 0.334).

(11)
Pm3Sm3Y4: relaxed, PBE.

The formation energy comes out at 0.103 eV per atom. As for the volume: 682.1 Å³/cell. As for the total energy: -5.324 eV per atom. The calculation puts the density of states at the Fermi level at 9.61 states/eV/f.u. Its total magnetization is 0.000 μB/atom.

The space group is Amm2 (No. 38) and the conventional cell measures 3.695, 13.581 and 13.590 Å, with angles of 90.00, 90.00 and 90.00 degrees. The asymmetric unit holds Pm at (0.000, 0.000, 0.000), Pm at (0.000, 0.175, 0.675), Sm at (0.000, 0.000, 0.349), Sm at (0.500, 0.249, 0.424), Y at (0.500, 0.000, 0.551), Y at (0.500, 0.000, 0.798) and Y at (0.500, 0.124, 0.175).

(12)
Pm12Sm6Y: relaxed, PBE.

The formation energy comes out at 0.135 eV per atom. As for the volume: 1981.8 Å³/cell. As for the total energy: -4.696 eV per atom. The calculation puts the density of states at the Fermi level at 31.11 states/eV/f.u. Its total magnetization is 0.000 μB/atom.

The space group is R-3 (No. 148, hexagonal axes) and the conventional cell measures 12.2243, 12.2243 and 15.3135 Å, with angles of 90.00, 90.00 and 120.00 degrees. The asymmetric unit holds Pm at (0.0044, 0.1738, 0.1907), Pm at (0.0466, 0.1953, 0.4166), Sm at (0.0130, 0.5896, 0.6853) and Y at (0.0000, 0.0000, 0.0000).

(13)
Pm4Sm2Y: relaxed, PBE.

The formation energy comes out at 0.430 eV per atom. As for the volume: 485.1 Å³/cell. As for the total energy: -4.556 eV per atom. The calculation puts the density of states at the Fermi level at 11.86 states/eV/f.u. Its total magnetization is 0.000 μB/atom.

The space group is Cmmm (No. 65) and the conventional cell measures 6.124, 13.196 and 6.003 Å, with angles of 90.00, 90.00 and 90.00 degrees. The asymmetric unit holds Pm at (0.000, 0.140, 0.000), Pm at (0.000, 0.309, 0.500), Sm at (0.000, 0.392, 0.000) and Y at (0.000, 0.000, 0.500).

(14)
Pm4Sm4Y: relaxed, PBE.

The formation energy comes out at 0.014 eV per atom. As for the volume: 610.8 Å³/cell. As for the total energy: -4.913 eV per atom. The calculation puts the density of states at the Fermi level at 13.62 states/eV/f.u. Its total magnetization is 0.000 μB/atom.

The space group is I4/mmm (No. 139) and the conventional cell measures 10.905, 10.905 and 5.136 Å, with angles of 90.00, 90.00 and 90.00 degrees. The asymmetric unit holds Pm at (0.000, 0.333, 0.000), Sm at (0.167, 0.167, 0.500) and Y at (0.000, 0.000, 0.000).

(15)
Pm7Sm2Y2: relaxed, PBE.

The formation energy comes out at 0.138 eV per atom. As for the volume: 757.2 Å³/cell. As for the total energy: -4.918 eV per atom. The calculation puts the density of states at the Fermi level at 16.98 states/eV/f.u. Its total magnetization is 0.000 μB/atom.

The space group is C2/m (No. 12) and the conventional cell measures 8.563, 11.077 and 8.291 Å, with angles of 90.00, 105.67 and 90.00 degrees. The asymmetric unit holds Pm at (0.000, 0.000, 0.000), Pm at (0.076, 0.500, 0.817), Pm at (0.198, 0.293, 0.167), Sm at (0.000, 0.284, 0.500) and Y at (0.194, 0.000, 0.473).

(16)
Pm3SmY: relaxed, PBE.

The formation energy comes out at 0.024 eV per atom. As for the volume: 342.4 Å³/cell. As for the total energy: -5.063 eV per atom. The calculation puts the density of states at the Fermi level at 8.72 states/eV/f.u. Its total magnetization is 0.000 μB/atom.

The space group is P-1 (No. 2) and the conventional cell measures 6.367, 6.913 and 9.396 Å, with angles of 71.33, 90.00 and 62.58 degrees. The asymmetric unit holds Pm at (0.063, 0.200, 0.049), Pm at (0.132, 0.399, 0.350), Pm at (0.335, 0.998, 0.748), Sm at (0.464, 0.399, 0.850) and Y at (0.266, 0.799, 0.450).

(17)
PmSm2Y8: relaxed, PBE.

The formation energy comes out at 0.165 eV per atom. As for the volume: 736.6 Å³/cell. As for the total energy: -5.826 eV per atom. The calculation puts the density of states at the Fermi level at 18.89 states/eV/f.u. Its total magnetization is 0.000 μB/atom.

The space group is C2/m (No. 12) and the conventional cell measures 16.665, 6.686 and 6.699 Å, with angles of 90.00, 99.32 and 90.00 degrees. The asymmetric unit holds Pm at (0.000, 0.000, 0.000), Sm at (0.245, 0.000, 0.311), Y at (0.088, 0.500, 0.903), Y at (0.089, 0.262, 0.404) and Y at (0.204, 0.000, 0.803).

(18)
PmSm7Y2: relaxed, PBE.

The formation energy comes out at 0.015 eV per atom. As for the volume: 335.3 Å³/cell. As for the total energy: -5.056 eV per atom. The calculation puts the density of states at the Fermi level at 15.10 states/eV/f.u. Its total magnetization is 0.000 μB/atom.

The space group is P-1 (No. 2) and the conventional cell measures 6.266, 6.269 and 9.580 Å, with angles of 70.93, 70.92 and 80.42 degrees. The asymmetric unit holds Pm at (0.000, 0.000, 0.000), Sm at (0.200, 0.000, 0.600), Sm at (0.300, 0.500, 0.899), Sm at (0.400, 0.000, 0.200), Sm at (0.500, 0.500, 0.500) and Y at (0.100, 0.500, 0.300).

(19)
PmSm2Y8: relaxed, PBE.

The formation energy comes out at 0.152 eV per atom. As for the volume: 753.9 Å³/cell. As for the total energy: -5.839 eV per atom. The calculation puts the density of states at the Fermi level at 19.14 states/eV/f.u. Its total magnetization is 0.000 μB/atom.

The space group is C2/m (No. 12) and the conventional cell measures 19.111, 7.041 and 5.611 Å, with angles of 90.00, 92.97 and 90.00 degrees. The asymmetric unit holds Pm at (0.000, 0.000, 0.000), Sm at (0.216, 0.500, 0.250), Y at (0.047, 0.500, 0.236), Y at (0.131, 0.266, 0.731) and Y at (0.187, 0.000, 0.233).